*one*
{
  "formula": "Zr2Hg3",
  "functional": "PBE",
  "state": "optimized geometry",
  "lattice": [[0.000, 7.364, 2.951], [5.098, 0.000, 2.951], [5.098, 7.364, 0.000]],
  "species": ["Zr", "Zr", "Zr", "Zr", "Hg", "Hg", "Hg", "Hg", "Hg", "Hg"],
  "fractional_positions": [[0.001, 0.499, 0.108], [0.142, 0.858, 0.249], [0.499, 0.001, 0.392], [0.858, 0.142, 0.751], [0.106, 0.106, 0.894], [0.356, 0.356, 0.144], [0.481, 0.580, 0.301], [0.580, 0.481, 0.638], [0.612, 0.949, 0.670], [0.949, 0.612, 0.769]],
  "sg": "Fdd2 (43)",
  "vol_a3_per_cell": 222,
  "magnetic_moment_mub_per_fu": 0.00
}

*two*
{
  "formula": "Zr2Hg3",
  "functional": "PBE",
  "state": "optimized geometry",
  "lattice": [[8.090, -2.642, 0.000], [8.090, 2.642, 0.000], [0.000, 0.000, 5.140]],
  "species": ["Zr", "Zr", "Zr", "Zr", "Hg", "Hg", "Hg", "Hg", "Hg", "Hg"],
  "fractional_positions": [[0.100, 0.703, 0.750], [0.297, 0.900, 0.750], [0.703, 0.100, 0.250], [0.900, 0.297, 0.250], [0.096, 0.505, 0.250], [0.299, 0.701, 0.250], [0.495, 0.904, 0.250], [0.505, 0.096, 0.750], [0.701, 0.299, 0.750], [0.904, 0.495, 0.750]],
  "sg": "Cmcm (63)",
  "vol_a3_per_cell": 220,
  "magnetic_moment_mub_per_fu": 0.00
}

*three*
{
  "formula": "Zr2Hg3",
  "functional": "PBE",
  "state": "optimized geometry",
  "lattice": [[-2.835, 7.462, 2.739], [2.835, -7.462, 2.739], [2.835, 7.462, -2.739]],
  "species": ["Zr", "Zr", "Zr", "Zr", "Hg", "Hg", "Hg", "Hg", "Hg", "Hg"],
  "fractional_positions": [[0.192, 0.157, 0.348], [0.308, 0.657, 0.965], [0.692, 0.343, 0.035], [0.808, 0.843, 0.652], [0.108, 0.630, 0.739], [0.250, 0.250, 0.000], [0.392, 0.130, 0.522], [0.608, 0.870, 0.478], [0.750, 0.750, 0.000], [0.892, 0.370, 0.261]],
  "sg": "Ibam (72)",
  "vol_a3_per_cell": 232,
  "magnetic_moment_mub_per_fu": 0.00
}

Verdict on stability: *one* comes out on top.

*one*
{
  "formula": "Zr5Hg",
  "functional": "PBE",
  "state": "optimized geometry",
  "lattice": [[5.836, -1.596, 0.000], [5.836, 1.596, 0.000], [-2.049, 0.000, 7.344]],
  "species": ["Zr", "Zr", "Zr", "Zr", "Zr", "Hg"],
  "fractional_positions": [[0.000, 0.000, 0.000], [0.031, 0.031, 0.614], [0.383, 0.383, 0.274], [0.660, 0.660, 0.346], [0.717, 0.717, 0.944], [0.315, 0.315, 0.666]],
  "sg": "Cm (8)",
  "vol_a3_per_cell": 137,
  "magnetic_moment_mub_per_fu": 0.00
}

*two*
{
  "formula": "Zr5Hg",
  "functional": "PBE",
  "state": "optimized geometry",
  "lattice": [[5.232, 0.000, 0.000], [0.000, 1.593, 8.195], [0.000, -1.593, 8.195]],
  "species": ["Zr", "Zr", "Zr", "Zr", "Zr", "Hg"],
  "fractional_positions": [[0.000, 0.000, 0.000], [0.000, 0.329, 0.329], [0.500, 0.119, 0.119], [0.500, 0.449, 0.449], [0.500, 0.785, 0.785], [0.000, 0.668, 0.668]],
  "sg": "Amm2 (38)",
  "vol_a3_per_cell": 137,
  "magnetic_moment_mub_per_fu": 0.00
}

*three*
{
  "formula": "Zr5Hg",
  "functional": "PBE",
  "state": "optimized geometry",
  "lattice": [[5.934, 0.000, 0.000], [-2.967, 5.139, 0.000], [0.000, 0.000, 4.872]],
  "species": ["Zr", "Zr", "Zr", "Zr", "Zr", "Hg"],
  "fractional_positions": [[0.000, 0.500, 0.000], [0.333, 0.667, 0.500], [0.500, 0.000, 0.000], [0.500, 0.500, 0.000], [0.667, 0.333, 0.500], [0.000, 0.000, 0.500]],
  "sg": "P6/mmm (191)",
  "vol_a3_per_cell": 149,
  "magnetic_moment_mub_per_fu": 0.00
}

Verdict on stability: *one* comes out on top.

*one*
{
  "formula": "Zr5Hg",
  "functional": "PBE",
  "state": "optimized geometry",
  "lattice": [[2.231, -6.846, 0.000], [2.231, 6.846, 0.000], [0.000, 0.000, 4.422]],
  "species": ["Zr", "Zr", "Zr", "Zr", "Zr", "Hg"],
  "fractional_positions": [[0.000, 0.000, 0.000], [0.167, 0.833, 0.500], [0.335, 0.665, 0.000], [0.665, 0.335, 0.000], [0.833, 0.167, 0.500], [0.500, 0.500, 0.500]],
  "sg": "Cmmm (65)",
  "vol_a3_per_cell": 135,
  "magnetic_moment_mub_per_fu": 0.00
}

*two*
{
  "formula": "Zr5Hg",
  "functional": "PBE",
  "state": "optimized geometry",
  "lattice": [[0.000, 4.108, 4.108], [4.108, 0.000, 4.108], [4.108, 4.108, 0.000]],
  "species": ["Zr", "Zr", "Zr", "Zr", "Zr", "Hg"],
  "fractional_positions": [[0.000, 0.000, 0.000], [0.119, 0.627, 0.627], [0.627, 0.119, 0.627], [0.627, 0.627, 0.119], [0.627, 0.627, 0.627], [0.250, 0.250, 0.250]],
  "sg": "F-43m (216)",
  "vol_a3_per_cell": 139,
  "magnetic_moment_mub_per_fu": 0.00
}

*three*
{
  "formula": "Zr5Hg",
  "functional": "PBE",
  "state": "optimized geometry",
  "lattice": [[3.200, 0.000, 0.000], [0.000, 3.200, 0.000], [0.000, 0.000, 13.343]],
  "species": ["Zr", "Zr", "Zr", "Zr", "Zr", "Hg"],
  "fractional_positions": [[0.000, 0.000, 0.000], [0.000, 0.000, 0.337], [0.000, 0.000, 0.663], [0.500, 0.500, 0.168], [0.500, 0.500, 0.832], [0.500, 0.500, 0.500]],
  "sg": "P4/mmm (123)",
  "vol_a3_per_cell": 137,
  "magnetic_moment_mub_per_fu": 0.00
}

Verdict on stability: *one* comes out on top.

*one*
{
  "formula": "Zr3Hg5",
  "functional": "PBE",
  "state": "optimized geometry",
  "lattice": [[4.418, -4.500, 0.000], [4.418, 4.500, 0.000], [0.000, 0.000, 4.409]],
  "species": ["Zr", "Zr", "Zr", "Hg", "Hg", "Hg", "Hg", "Hg"],
  "fractional_positions": [[0.000, 0.000, 0.000], [0.259, 0.741, 0.500], [0.741, 0.259, 0.500], [0.000, 0.500, 0.000], [0.237, 0.237, 0.500], [0.500, 0.000, 0.000], [0.500, 0.500, 0.000], [0.763, 0.763, 0.500]],
  "sg": "Cmmm (65)",
  "vol_a3_per_cell": 175,
  "magnetic_moment_mub_per_fu": 0.00
}

*two*
{
  "formula": "Zr3Hg5",
  "functional": "PBE",
  "state": "optimized geometry",
  "lattice": [[8.650, 0.000, 0.000], [-4.325, 7.491, 0.000], [0.000, 0.000, 5.774]],
  "species": ["Zr", "Zr", "Zr", "Zr", "Zr", "Zr", "Hg", "Hg", "Hg", "Hg", "Hg", "Hg", "Hg", "Hg", "Hg", "Hg"],
  "fractional_positions": [[0.000, 0.405, 0.250], [0.000, 0.595, 0.750], [0.405, 0.000, 0.250], [0.405, 0.405, 0.750], [0.595, 0.000, 0.750], [0.595, 0.595, 0.250], [0.000, 0.235, 0.750], [0.000, 0.765, 0.250], [0.235, 0.000, 0.750], [0.235, 0.235, 0.250], [0.333, 0.667, 0.000], [0.333, 0.667, 0.500], [0.667, 0.333, 0.000], [0.667, 0.333, 0.500], [0.765, 0.000, 0.250], [0.765, 0.765, 0.750]],
  "sg": "P6_3/mcm (193)",
  "vol_a3_per_cell": 374,
  "magnetic_moment_mub_per_fu": 1.01
}

Verdict on stability: *one* comes out on top.

*one*
{
  "formula": "Zr5Hg3",
  "functional": "PBE",
  "state": "optimized geometry",
  "lattice": [[3.172, 0.000, 0.000], [0.000, 3.172, 0.000], [0.000, 0.000, 17.646]],
  "species": ["Zr", "Zr", "Zr", "Zr", "Zr", "Hg", "Hg", "Hg"],
  "fractional_positions": [[0.000, 0.000, 0.000], [0.000, 0.000, 0.246], [0.000, 0.000, 0.754], [0.500, 0.500, 0.374], [0.500, 0.500, 0.626], [0.000, 0.000, 0.500], [0.500, 0.500, 0.121], [0.500, 0.500, 0.879]],
  "sg": "P4/mmm (123)",
  "vol_a3_per_cell": 178,
  "magnetic_moment_mub_per_fu": 0.00
}

*two*
{
  "formula": "Zr5Hg3",
  "functional": "PBE",
  "state": "optimized geometry",
  "lattice": [[8.693, 0.000, 0.000], [-4.347, 7.529, 0.000], [0.000, 0.000, 5.443]],
  "species": ["Zr", "Zr", "Zr", "Zr", "Zr", "Zr", "Zr", "Zr", "Zr", "Zr", "Hg", "Hg", "Hg", "Hg", "Hg", "Hg"],
  "fractional_positions": [[0.000, 0.232, 0.250], [0.000, 0.768, 0.750], [0.232, 0.000, 0.250], [0.232, 0.232, 0.750], [0.333, 0.667, 0.000], [0.333, 0.667, 0.500], [0.667, 0.333, 0.000], [0.667, 0.333, 0.500], [0.768, 0.000, 0.750], [0.768, 0.768, 0.250], [0.000, 0.398, 0.750], [0.000, 0.602, 0.250], [0.398, 0.000, 0.750], [0.398, 0.398, 0.250], [0.602, 0.000, 0.250], [0.602, 0.602, 0.750]],
  "sg": "P6_3/mcm (193)",
  "vol_a3_per_cell": 356,
  "magnetic_moment_mub_per_fu": 0.00
}

*three*
{
  "formula": "Zr5Hg3",
  "functional": "PBE",
  "state": "optimized geometry",
  "lattice": [[4.280, -4.530, 0.000], [4.280, 4.530, 0.000], [0.000, 0.000, 4.531]],
  "species": ["Zr", "Zr", "Zr", "Zr", "Zr", "Hg", "Hg", "Hg"],
  "fractional_positions": [[0.000, 0.000, 0.000], [0.000, 0.500, 0.000], [0.255, 0.255, 0.500], [0.500, 0.000, 0.000], [0.745, 0.745, 0.500], [0.242, 0.758, 0.500], [0.500, 0.500, 0.000], [0.758, 0.242, 0.500]],
  "sg": "Cmmm (65)",
  "vol_a3_per_cell": 176,
  "magnetic_moment_mub_per_fu": 0.00
}

Verdict on stability: *one* comes out on top.